Entry from Alexandria: an optimized crystal structure of Y2TcCl (PBE-GGA).

**Symmetry**: Immm (71)
**Calculated density**: 5.17 g/cm3
**Fermi-level density of states**: 3.46 states/eV/f.u.
**Total energy**: -25.5 eV/f.u.
**Calculated volume**: 199.8 Å³ per cell
**E_form (uncorrected)**: -0.10 eV per atom

a b c (Å): 3.6258 6.4490 8.5453
angles (deg): 90.00 90.00 90.00
Closest atoms and distances in Å follow each position.
Fractional coordinates of all 8 atoms:
Y  0.0000  0.0000  0.2468  2 Cl 2.78, 2 Tc 2.82
Y  0.0000  0.0000  0.7532  2 Cl 2.78, 2 Tc 2.82
Y  0.5000  0.5000  0.2532  2 Cl 2.78, 2 Tc 2.82
Y  0.5000  0.5000  0.7468  2 Cl 2.78, 2 Tc 2.82
Tc  0.0000  0.5000  0.0000  4 Y 2.82
Tc  0.5000  0.0000  0.5000  4 Y 2.82
Cl  0.0000  0.5000  0.5000  4 Y 2.78
Cl  0.5000  0.0000  0.0000  4 Y 2.78